No. 1
## SiOF3 (PBE)

Data for an optimized crystal structure of SiOF3.

a b c (Å): 3.653 3.653 3.653
angles (deg): 90.00 90.00 90.00
Fractional coordinates of all 5 atoms:
Si 0.000 0.000 0.000
O 0.500 0.500 0.500
F 0.000 0.000 0.500
F 0.000 0.500 0.000
F 0.500 0.000 0.000

Summary:
offset from the most stable computed form = 0 meV per atom
M_tot = 1.368 μB/cell
theoretical density = 3.44 g/cm³
DOS at the Fermi energy = 9.41 states/eV/f.u.
raw formation energy = -6.28 eV/f.u.

=====

No. 2
## SiO2F2 (PBE)

Data for an optimized crystal structure of SiO2F2.

a b c (Å): 3.837 3.837 3.673
angles (deg): 90.00 90.00 90.00
Fractional coordinates of all 5 atoms:
Si 0.000 0.000 0.000
O 0.500 0.500 0.000
O 0.500 0.500 0.500
F 0.000 0.500 0.500
F 0.500 0.000 0.500

Summary:
offset from the most stable computed form = 1690 meV per atom
M_tot = 0.000 μB/cell
theoretical density = 3.01 g/cm³
DOS at the Fermi energy = 1.65 states/eV/f.u.
raw formation energy = 1.37 eV/f.u.

=====

No. 3
## SiO2F2 (PBE)

Data for an optimized crystal structure of SiO2F2.

a b c (Å): 8.818 8.818 8.818
angles (deg): 162.54 162.54 24.79
Fractional coordinates of all 5 atoms:
Si 0.000 0.000 0.000
O 0.250 0.750 0.500
O 0.750 0.250 0.500
F 0.425 0.425 0.000
F 0.575 0.575 0.000

Summary:
offset from the most stable computed form = 1335 meV per atom
M_tot = 0.000 μB/cell
theoretical density = 2.64 g/cm³
DOS at the Fermi energy = 1.71 states/eV/f.u.
raw formation energy = -0.41 eV/f.u.

=====

No. 4
## Si3OF (PBE)

Data for an optimized crystal structure of Si3OF.

a b c (Å): 4.293 4.293 4.293
angles (deg): 90.00 90.00 90.00
Fractional coordinates of all 5 atoms:
Si 0.000 0.000 0.500
Si 0.000 0.500 0.000
Si 0.500 0.000 0.000
O 0.000 0.000 0.000
F 0.500 0.500 0.500

Summary:
offset from the most stable computed form = 0 meV per atom
M_tot = 0.000 μB/cell
theoretical density = 2.50 g/cm³
DOS at the Fermi energy = 2.52 states/eV/f.u.
raw formation energy = 1.04 eV/f.u.

=====

No. 5
## SiOF3 (PBE)

Data for an optimized crystal structure of SiOF3.

a b c (Å): 3.902 3.902 3.902
angles (deg): 90.00 90.00 90.00
Fractional coordinates of all 5 atoms:
Si 0.000 0.000 0.000
O 0.500 0.500 0.500
F 0.000 0.500 0.500
F 0.500 0.000 0.500
F 0.500 0.500 0.000

Summary:
offset from the most stable computed form = 1270 meV per atom
M_tot = 0.000 μB/cell
theoretical density = 2.83 g/cm³
DOS at the Fermi energy = 1.64 states/eV/f.u.
raw formation energy = 0.07 eV/f.u.

=====

No. 6
## SiO2F2 (PBE)

Data for an optimized crystal structure of SiO2F2.

a b c (Å): 3.514 3.514 4.541
angles (deg): 90.00 90.00 90.00
Fractional coordinates of all 5 atoms:
Si 0.000 0.000 0.000
O 0.000 0.500 0.500
O 0.500 0.000 0.500
F 0.500 0.500 0.000
F 0.500 0.500 0.500

Summary:
offset from the most stable computed form = 1963 meV per atom
M_tot = 0.000 μB/cell
theoretical density = 2.90 g/cm³
DOS at the Fermi energy = 2.21 states/eV/f.u.
raw formation energy = 2.73 eV/f.u.

=====

No. 7
## SiO2F2 (PBE)

Data for an optimized crystal structure of SiO2F2.

a b c (Å): 3.503 3.503 3.576
angles (deg): 90.00 90.00 90.00
Fractional coordinates of all 5 atoms:
Si 0.000 0.000 0.000
O 0.000 0.500 0.000
O 0.500 0.000 0.000
F 0.000 0.000 0.500
F 0.500 0.500 0.500

Summary:
offset from the most stable computed form = 0 meV per atom
M_tot = 2.001 μB/cell
theoretical density = 3.71 g/cm³
DOS at the Fermi energy = 1.73 states/eV/f.u.
raw formation energy = -7.08 eV/f.u.

=====

No. 8
## SiO2F2 (PBE)

Data for an optimized crystal structure of SiO2F2.

a b c (Å): 3.703 3.703 3.333
angles (deg): 90.00 90.00 90.00
Fractional coordinates of all 5 atoms:
Si 0.000 0.000 0.000
O 0.000 0.000 0.500
O 0.500 0.500 0.500
F 0.000 0.500 0.000
F 0.500 0.000 0.000

Summary:
offset from the most stable computed form = 48 meV per atom
M_tot = 2.000 μB/cell
theoretical density = 3.56 g/cm³
DOS at the Fermi energy = 0.10 states/eV/f.u.
raw formation energy = -6.84 eV/f.u.

=====

Values of electronic total energy, in order: -4.4560; -3.5427; -3.8976; -4.4116; -3.1858; -3.2698; -5.2323; -5.1841, all in eV/atom.